Computed, not measured: crystalline CoIrRuO6 at its relaxed geometry at the GGA+U level of DFT.

Calculated values
VASP energy ... -6.6158 eV/atom
Mass density ... 8.22 Mg/m³
Calculated volume ... 10.1 Å³/atom

Cell lengths 4.8862, 4.8862, 8.7585 Å; angles 90.00, 90.00, 120.00 degrees
Space group P-31c (No. 163)
Inequivalent atoms, fractional coordinates:
1 Co 0.0000 0.0000 0.0000 (multiplicity 2)
2 Ir 0.3333 0.6667 0.2500 (multiplicity 2)
3 Ru 0.3333 0.6667 0.7500 (multiplicity 2)
4 O 0.0011 0.3351 0.6194 (multiplicity 12)